## KRb2RuF6 (meta-GGA SCAN)

Data for a PBEsol-optimized structure of KRb2RuF6.

CIF file:
```
data_KRb2RuF6
_chemical_formula_sum 'K4 Rb8 Ru4 F24'
_space_group_name_H-M_alt 'F m -3 m'
_space_group_IT_number 225
_space_group_name_Hall '-F 4 2 3'
_cell_length_a 8.9041
_cell_length_b 8.9041
_cell_length_c 8.9041
_cell_angle_alpha 90.00
_cell_angle_beta 90.00
_cell_angle_gamma 90.00
loop_
_atom_site_label
_atom_site_fract_x
_atom_site_fract_y
_atom_site_fract_z
K1 0.0000 0.0000 0.0000
Rb1 0.2500 0.2500 0.2500
Ru1 0.0000 0.0000 0.5000
F1 0.0000 0.0000 0.2765
```

Computed properties:
- calculated volume (Å³/f.u.) = 176.5
- formation energy from raw total energies (eV/atom) = -2.568
- magnetization (μB per cell) = 4.0